Entry from Alexandria via LeMat-Bulk: a geometry-optimized Pr2RuRhO6 structure (GGA-PBE).

Results
Calculated volume   264.1 Å³ per cell
Total magnetic moment   2.3 Bohr magnetons per cell
Formation energy from raw total energies   -1771 kJ/mol of formula units

CIF file:
```
data_Pr2RuRhO6
_symmetry_space_group_name_H-M 'P m m n'
_symmetry_Int_Tables_number 59
_cell_length_a 5.7076
_cell_length_b 7.9812
_cell_length_c 5.7974
_cell_angle_alpha 90.00
_cell_angle_beta 90.00
_cell_angle_gamma 90.00
loop_
_symmetry_equiv_pos_as_xyz
'x,y,z'
'-x,-y,-z'
'-x+1/2,-y+1/2,z'
'x+1/2,y+1/2,-z'
'x+1/2,-y,-z'
'-x+1/2,y,z'
'-x,y+1/2,-z'
'x,-y+1/2,z'
loop_
_atom_site_label
_atom_site_fract_x
_atom_site_fract_y
_atom_site_fract_z
_atom_site_occupancy
Pr1 0.2500 0.0296 0.2073 1
Ru1 0.2500 0.7500 0.7421 1
Rh1 0.2500 0.2500 0.7263 1
O1 0.0136 0.2500 0.0027 1
O2 0.0401 0.2500 0.4425 1
O3 0.2500 0.5023 0.7906 1
```

Entry from Alexandria via LeMat-Bulk: a geometry-optimized PrRhS2O8 structure (GGA-PBE).

Results
Calculated volume   176.1 Å³ per cell
Total magnetic moment   2.0 Bohr magnetons per cell
Formation energy from raw total energies   -1769 kJ/mol of formula units

CIF file:
```
data_PrRhS2O8
_symmetry_space_group_name_H-M 'P -3 m 1'
_symmetry_Int_Tables_number 164
_symmetry_space_group_name_Hall '-P 3 2"'
_cell_length_a 5.2259
_cell_length_b 5.2259
_cell_length_c 7.4475
_cell_angle_alpha 90.00
_cell_angle_beta 90.00
_cell_angle_gamma 120.00
loop_
_atom_site_label
_atom_site_fract_x
_atom_site_fract_y
_atom_site_fract_z
_atom_site_occupancy
Pr1 0.0000 0.0000 0.0000 1
Rh1 0.0000 0.0000 0.5000 1
S1 0.3333 0.6667 0.1994 1
O1 0.1768 0.3537 0.2605 1
O2 0.3333 0.6667 0.9974 1
```

Entry from Alexandria via LeMat-Bulk: a geometry-optimized Pr2ScRhO6 structure (GGA-PBE).

Results
Calculated volume   259.5 Å³ per cell
Total magnetic moment   0.0 Bohr magnetons per cell
Formation energy from raw total energies   -2658 kJ/mol of formula units

CIF file:
```
data_Pr2ScRhO6
_symmetry_space_group_name_H-M 'P 1 21/c 1'
_symmetry_Int_Tables_number 14
_cell_length_a 5.5729
_cell_length_b 5.8279
_cell_length_c 9.6811
_cell_angle_alpha 90.00
_cell_angle_beta 124.37
_cell_angle_gamma 90.00
loop_
_symmetry_equiv_pos_as_xyz
'x,y,z'
'-x,-y,-z'
'-x,y+1/2,-z+1/2'
'x,-y+1/2,z+1/2'
loop_
_atom_site_label
_atom_site_fract_x
_atom_site_fract_y
_atom_site_fract_z
_atom_site_occupancy
Pr1 0.2324 0.0604 0.2494 1
Sc1 0.5000 0.0000 0.0000 1
Rh1 0.0000 0.0000 0.5000 1
O1 0.1459 0.2023 0.9488 1
O2 0.2469 0.7035 0.9472 1
O3 0.3493 0.0332 0.7482 1
```

Entry from Alexandria via LeMat-Bulk: a geometry-optimized SrPr2RhO6 structure (GGA-PBE).

Results
Calculated volume   292.7 Å³ per cell
Total magnetic moment   2.1 Bohr magnetons per cell
Formation energy from raw total energies   -2300 kJ/mol of formula units

CIF file:
```
data_SrPr2RhO6
_symmetry_space_group_name_H-M 'P 1 21/c 1'
_symmetry_Int_Tables_number 14
_cell_length_a 5.7366
_cell_length_b 6.0919
_cell_length_c 10.0749
_cell_angle_alpha 90.00
_cell_angle_beta 123.75
_cell_angle_gamma 90.00
loop_
_symmetry_equiv_pos_as_xyz
'x,y,z'
'-x,-y,-z'
'-x,y+1/2,-z+1/2'
'x,-y+1/2,z+1/2'
loop_
_atom_site_label
_atom_site_fract_x
_atom_site_fract_y
_atom_site_fract_z
_atom_site_occupancy
Sr1 0.0000 0.0000 0.0000 1
Pr1 0.2703 0.0613 0.7465 1
Rh1 0.5000 0.0000 0.5000 1
O1 0.1431 0.0665 0.2789 1
O2 0.2757 0.6771 0.0605 1
O3 0.4147 0.2207 0.0813 1
```

Entry from Alexandria via LeMat-Bulk: a geometry-optimized SrPr2RhO5 structure (GGA-PBE).

Results
Calculated volume   274.5 Å³ per cell
Total magnetic moment   2.1 Bohr magnetons per cell
Formation energy from raw total energies   -2166 kJ/mol of formula units

CIF file:
```
data_SrPr2RhO5
_symmetry_space_group_name_H-M 'P 4/m b m'
_symmetry_Int_Tables_number 127
_symmetry_space_group_name_Hall '-P 4 2ab'
_cell_length_a 6.8291
_cell_length_b 6.8291
_cell_length_c 5.8867
_cell_angle_alpha 90.00
_cell_angle_beta 90.00
_cell_angle_gamma 90.00
loop_
_atom_site_label
_atom_site_fract_x
_atom_site_fract_y
_atom_site_fract_z
_atom_site_occupancy
Sr1 0.0000 0.0000 0.0000 1
Pr1 0.1731 0.3269 0.5000 1
Rh1 0.0000 0.5000 0.0000 1
O1 0.0000 0.0000 0.5000 1
O2 0.1425 0.6425 0.2462 1
```

Entry from Alexandria via LeMat-Bulk: a geometry-optimized TbPr2RhO6 structure (GGA-PBE).

Results
Calculated volume   279.4 Å³ per cell
Total magnetic moment   0.0 Bohr magnetons per cell
Formation energy from raw total energies   -2593 kJ/mol of formula units

CIF file:
```
data_TbPr2RhO6
_symmetry_space_group_name_H-M 'P 1 21/c 1'
_symmetry_Int_Tables_number 14
_cell_length_a 5.6965
_cell_length_b 5.9848
_cell_length_c 9.8438
_cell_angle_alpha 90.00
_cell_angle_beta 123.63
_cell_angle_gamma 90.00
loop_
_symmetry_equiv_pos_as_xyz
'x,y,z'
'-x,-y,-z'
'-x,y+1/2,-z+1/2'
'x,-y+1/2,z+1/2'
loop_
_atom_site_label
_atom_site_fract_x
_atom_site_fract_y
_atom_site_fract_z
_atom_site_occupancy
Tb1 0.0000 0.0000 0.0000 1
Pr1 0.2736 0.0620 0.7511 1
Rh1 0.5000 0.0000 0.5000 1
O1 0.1416 0.0477 0.2627 1
O2 0.2669 0.6945 0.0608 1
O3 0.3768 0.2068 0.0617 1
```

Entry from Alexandria via LeMat-Bulk: a geometry-optimized Pr2TmRhO6 structure (GGA-PBE).

Results
Calculated volume   273.0 Å³ per cell
Total magnetic moment   0.0 Bohr magnetons per cell
Formation energy from raw total energies   -2643 kJ/mol of formula units

CIF file:
```
data_Pr2TmRhO6
_symmetry_space_group_name_H-M 'P 1 21/c 1'
_symmetry_Int_Tables_number 14
_cell_length_a 5.6577
_cell_length_b 5.9349
_cell_length_c 9.7932
_cell_angle_alpha 90.00
_cell_angle_beta 123.89
_cell_angle_gamma 90.00
loop_
_symmetry_equiv_pos_as_xyz
'x,y,z'
'-x,-y,-z'
'-x,y+1/2,-z+1/2'
'x,-y+1/2,z+1/2'
loop_
_atom_site_label
_atom_site_fract_x
_atom_site_fract_y
_atom_site_fract_z
_atom_site_occupancy
Pr1 0.2284 0.0614 0.2490 1
Tm1 0.5000 0.0000 0.0000 1
Rh1 0.0000 0.0000 0.5000 1
O1 0.1313 0.2052 0.9420 1
O2 0.2376 0.6976 0.9417 1
O3 0.3554 0.0426 0.7412 1
```